1.
GdMg | OQMD | PBE-GGA | optimized geometry; size of the total moment = 0.0 μB/f.u.; crystal system = orthorhombic; electronic total energy = -3.067 eV/atom
1.0
-0.7190 0.3743 5.4762
-1.2878 -3.5887 0.0762
5.0253 -1.7867 0.7819
Gd Mg
2 2
direct
0.3479 0.0000 0.5000
0.4854 0.5000 0.0000
0.9798 0.0000 0.0000
0.8535 0.5000 0.5000



2.
GdMg | OQMD | PBE-GGA | optimized geometry; size of the total moment = 0.0 μB/f.u.; crystal system = orthorhombic; electronic total energy = -3.116 eV/atom
1.0
-2.0109 5.5156 2.2956
3.9894 -3.5809 12.0980
4.8260 2.1562 -0.9532
Gd Mg
8 8
direct
0.7624 0.8750 0.5000
0.2646 0.0172 0.5000
0.0687 0.2327 0.0000
0.2646 0.7328 0.5000
0.9154 0.3750 0.5000
0.4179 0.8750 0.0000
0.0687 0.5173 0.0000
0.5709 0.3750 0.0000
0.5418 0.6299 0.0000
0.3906 0.4888 0.5000
0.9427 0.7612 0.0000
0.9427 0.9888 0.0000
0.3906 0.2612 0.5000
0.7916 0.6202 0.5000
0.7916 0.1298 0.5000
0.5418 0.1201 0.0000



3.
Gd3MgN | OQMD | PBE-GGA | optimized geometry; size of the total moment = 0.0 μB/f.u.; crystal system = cubic; electronic total energy = -5.447 eV/atom
1.0
4.9152 0.0000 0.0000
0.0000 4.9152 0.0000
0.0000 0.0000 4.9152
Mg Gd N
1 3 1
direct
0.0000 0.0000 0.0000
0.5000 0.5000 0.0000
0.0000 0.5000 0.5000
0.5000 0.0000 0.5000
0.5000 0.5000 0.5000



4.
NaGdMg | OQMD | PBE-GGA | optimized geometry; size of the total moment = 0.2 μB/f.u.; crystal system = cubic; electronic total energy = -1.974 eV/atom
1.0
0.4975 -5.1713 0.6753
0.7937 -1.9509 4.7969
-3.7967 -2.7071 2.3881
Gd Na Mg
1 1 1
direct
0.2500 0.2500 0.2500
0.7500 0.7500 0.7500
0.0000 0.0000 0.0000



5.
NaGdMg2 | OQMD | PBE-GGA | optimized geometry; size of the total moment = 0.0 μB/f.u.; crystal system = monoclinic; electronic total energy = -2.100 eV/atom
1.0
8.1073 -1.7584 0.0000
8.1073 1.7584 0.0000
-0.7808 0.0000 7.9472
Na Mg Gd
2 4 2
direct
0.6799 0.6799 0.8569
0.3201 0.3201 0.1431
0.1763 0.1763 0.5319
0.8237 0.8237 0.4681
0.3577 0.3577 0.7707
0.6423 0.6423 0.2293
0.0000 0.0000 0.0000
0.5000 0.5000 0.5000



6.
NaGdMgSe3 | OQMD | PBE-GGA | optimized geometry; size of the total moment = 0.0 μB/f.u.; ΔE to the lowest computed polymorph = 25.1 meV/atom; crystal system = orthorhombic
1.0
2.9611 3.6125 5.4022
-5.4609 -4.0938 -2.1026
5.7306 -9.1859 3.0016
Mg Se Gd Na
2 6 2 2
direct
0.4700 0.5300 0.2500
0.5300 0.4700 0.7500
0.9178 0.0822 0.7500
0.6365 0.3635 0.5665
0.6365 0.3635 0.9335
0.0822 0.9178 0.2500
0.3635 0.6365 0.0665
0.3635 0.6365 0.4335
0.0000 0.0000 0.5000
0.0000 0.0000 0.0000
0.2475 0.7526 0.7500
0.7526 0.2475 0.2500



7.
NaGdMgSe3 | OQMD | PBE-GGA | optimized geometry; size of the total moment = 0.0 μB/f.u.; ΔE to the lowest computed polymorph = 0.0 meV/atom; crystal system = monoclinic
1.0
-7.7912 0.9586 2.6623
-1.2504 -3.1617 -2.5207
4.2907 -6.8983 6.5240
Se Gd Na Mg
6 2 2 2
direct
0.0834 0.2500 0.8551
0.7757 0.2500 0.4425
0.4352 0.7500 0.1443
0.5648 0.2500 0.8557
0.2243 0.7500 0.5575
0.9166 0.7500 0.1449
0.3291 0.7500 0.8572
0.6709 0.2500 0.1428
0.8145 0.7500 0.8348
0.1855 0.2500 0.1652
0.9254 0.7500 0.3917
0.0746 0.2500 0.6083



8.
NaGdMgSe3 | OQMD | PBE-GGA | optimized geometry; size of the total moment = 0.0 μB/f.u.; ΔE to the lowest computed polymorph = 18.5 meV/atom; crystal system = orthorhombic
1.0
13.9747 0.0000 0.0000
0.0000 4.1922 0.0000
0.0000 0.0000 11.3610
Mg Gd Se Na
4 4 12 4
direct
0.4866 0.2500 0.5982
0.9866 0.2500 0.9018
0.5134 0.7500 0.4018
0.0134 0.7500 0.0982
0.5251 0.2500 0.1519
0.9749 0.7500 0.6519
0.0251 0.2500 0.3481
0.4749 0.7500 0.8481
0.3950 0.7500 0.0770
0.1447 0.7500 0.2513
0.6447 0.7500 0.2487
0.8553 0.2500 0.7487
0.3553 0.2500 0.7513
0.0926 0.7500 0.8879
0.4074 0.2500 0.3879
0.8950 0.7500 0.4230
0.9074 0.2500 0.1121
0.1050 0.2500 0.5770
0.6050 0.2500 0.9230
0.5926 0.7500 0.6121
0.7419 0.2500 0.4209
0.2581 0.7500 0.5791
0.2419 0.2500 0.0791
0.7581 0.7500 0.9209